(1)
First-principles (PBE-GGA) data for crystalline Pr4GaTeS2 at its relaxed geometry, as listed in Alexandria.

Values from the calculation:
- formation energy from raw total energies (eV/f.u.) = -11.9
- crystal system = monoclinic
- volume (Å³ per atom) = 27.81

extended XYZ file:
```
8
Lattice="7.444 0.000 0.000 0.000 4.185 0.000 -2.383 0.000 7.141" Properties=species:S:1:pos:R:3 pbc="T T T"
Pr 1.153 0.000 1.629
Pr -0.042 2.093 5.361
Pr 5.103 2.093 1.780
Pr 3.908 0.000 5.513
Ga 3.722 0.000 0.000
Te 2.530 2.093 3.571
S -1.192 0.000 3.571
S 0.000 2.093 0.000
```


(2)
First-principles (PBE-GGA) data for crystalline Pr8GaTe4S3 at its relaxed geometry, as listed in Alexandria.

Values from the calculation:
- formation energy from raw total energies (eV/f.u.) = -25.1
- crystal system = trigonal
- volume (Å³ per atom) = 29.25

extended XYZ file:
```
16
Lattice="4.284 2.474 7.360 -4.284 2.474 7.360 0.000 -4.947 7.360" Properties=species:S:1:pos:R:3 pbc="T T T"
Pr 0.000 0.000 5.222
Pr -2.158 -1.246 12.644
Pr 0.000 -2.492 9.437
Pr -2.158 1.246 9.437
Pr 2.158 -1.246 12.644
Pr 0.000 2.492 12.644
Pr 2.158 1.246 9.437
Pr 0.000 0.000 16.859
Ga 0.000 0.000 11.041
Te 0.000 0.000 0.000
Te -2.142 -1.237 7.360
Te -2.142 1.237 14.721
Te 0.000 2.474 7.360
S -4.284 0.000 11.041
S -2.142 1.237 3.680
S 2.142 1.237 3.680
```


(3)
First-principles (PBE-GGA) data for crystalline Pr4GaTe2S at its relaxed geometry, as listed in Alexandria.

Values from the calculation:
- formation energy from raw total energies (eV/f.u.) = -11.1
- crystal system = monoclinic
- volume (Å³ per atom) = 29.97

extended XYZ file:
```
8
Lattice="7.521 0.000 0.000 0.000 4.325 0.000 -2.497 0.000 7.372" Properties=species:S:1:pos:R:3 pbc="T T T"
Pr 1.249 0.000 1.616
Pr -0.002 2.162 5.693
Pr 5.026 2.162 1.679
Pr 3.775 0.000 5.756
Ga 3.760 0.000 0.000
Te -1.248 0.000 3.686
Te 2.512 2.162 3.686
S 0.000 2.162 0.000
```


(4)
First-principles (PBE-GGA) data for crystalline PrTl2GaS4 at its relaxed geometry, as listed in Alexandria.

Values from the calculation:
- formation energy from raw total energies (eV/f.u.) = -6.5
- crystal system = orthorhombic
- volume (Å³ per atom) = 25.39

extended XYZ file:
```
16
Lattice="-4.008 4.293 5.903 4.008 -4.293 5.903 4.008 4.293 -5.903" Properties=species:S:1:pos:R:3 pbc="T T T"
Pr 0.000 0.000 0.000
Pr 0.000 4.293 0.000
Tl 4.008 0.000 0.000
Tl -2.004 2.147 2.951
Tl 0.000 0.000 5.903
Tl 2.004 2.147 2.951
Ga 2.004 2.147 -2.951
Ga 2.004 -2.147 2.951
S 4.008 3.843 -3.034
S 4.008 -0.450 3.034
S 1.853 2.147 -0.321
S 2.155 -2.147 5.582
S 1.853 6.440 0.321
S 2.155 2.147 6.224
S 0.000 4.743 2.869
S 0.000 0.450 8.937
```


(5)
First-principles (PBE-GGA) data for crystalline PrGa4Sb at its relaxed geometry, as listed in Alexandria.

Values from the calculation:
- formation energy from raw total energies (eV/f.u.) = -1.6
- crystal system = cubic
- volume (Å³ per atom) = 21.72

extended XYZ file:
```
6
Lattice="0.000 4.024 4.024 4.024 0.000 4.024 4.024 4.024 0.000" Properties=species:S:1:pos:R:3 pbc="T T T"
Pr 0.000 0.000 0.000
Ga 5.029 3.019 3.019
Ga 3.019 5.029 3.019
Ga 3.019 3.019 5.029
Ga 5.029 5.029 5.029
Sb 2.012 2.012 2.012
```


(6)
First-principles (PBE-GGA) data for crystalline Pr4GaSb3 at its relaxed geometry, as listed in Alexandria.

Values from the calculation:
- formation energy from raw total energies (eV/f.u.) = -7.5
- crystal system = cubic
- volume (Å³ per atom) = 32.60

extended XYZ file:
```
8
Lattice="6.389 0.000 0.000 0.000 6.389 0.000 0.000 0.000 6.389" Properties=species:S:1:pos:R:3 pbc="T T T"
Pr 0.000 0.000 0.000
Pr 0.000 3.194 3.194
Pr 3.194 0.000 3.194
Pr 3.194 3.194 0.000
Ga 3.194 3.194 3.194
Sb 0.000 0.000 3.194
Sb 0.000 3.194 0.000
Sb 3.194 0.000 0.000
```


(7)
First-principles (PBE-GGA) data for crystalline Pr3GaSb at its relaxed geometry, as listed in Alexandria.

Values from the calculation:
- formation energy from raw total energies (eV/f.u.) = -3.0
- crystal system = monoclinic
- volume (Å³ per atom) = 32.73

extended XYZ file:
```
10
Lattice="5.632 0.000 0.000 0.000 6.482 0.000 -0.014 0.000 8.965" Properties=species:S:1:pos:R:3 pbc="T T T"
Pr 0.000 0.000 0.000
Pr 0.000 3.241 0.000
Pr -0.001 1.621 3.217
Pr 2.801 1.621 6.820
Pr 2.817 4.862 2.145
Pr 5.619 4.862 5.749
Ga 0.001 4.862 2.775
Ga 5.617 1.621 6.190
Sb 2.816 1.621 1.340
Sb 2.802 4.862 7.625
```


(8)
First-principles (PBE-GGA) data for crystalline Pr8GaSb5 at its relaxed geometry, as listed in Alexandria.

Values from the calculation:
- formation energy from raw total energies (eV/f.u.) = -13.6
- crystal system = tetragonal
- volume (Å³ per atom) = 31.13

extended XYZ file:
```
14
Lattice="-4.758 4.758 4.812 4.758 -4.758 4.812 4.758 4.758 -4.812" Properties=species:S:1:pos:R:3 pbc="T T T"
Pr 4.094 2.982 -2.922
Pr 4.081 1.694 0.501
Pr 3.064 -0.677 4.311
Pr 0.664 1.776 1.891
Pr 1.694 5.435 -0.501
Pr 1.776 -0.664 7.734
Pr 2.982 5.423 2.922
Pr 0.677 3.064 5.313
Ga 0.000 4.758 2.406
Sb 2.375 -1.165 1.217
Sb 5.923 -2.383 3.595
Sb 7.141 1.165 1.217
Sb 0.000 0.000 4.812
Sb 3.593 2.383 3.595
```


(9)
First-principles (PBE-GGA) data for crystalline Pr4GaSb at its relaxed geometry, as listed in Alexandria.

Values from the calculation:
- formation energy from raw total energies (eV/f.u.) = -3.4
- excess energy over the best structure of this formula in the dataset (meV/atom) = 0
- crystal system = monoclinic
- volume (Å³ per atom) = 30.65

extended XYZ file:
```
12
Lattice="4.482 -7.121 0.000 4.482 7.121 0.000 -2.410 0.000 5.764" Properties=species:S:1:pos:R:3 pbc="T T T"
Pr 1.262 4.498 5.402
Pr 1.128 1.167 3.780
Pr 4.087 4.498 3.243
Pr 2.332 -1.167 0.898
Pr 4.221 1.167 4.865
Pr 2.467 -4.498 2.521
Pr 5.426 -1.167 1.983
Pr 5.291 -4.498 0.361
Ga 3.879 7.113 1.441
Ga 2.674 -7.113 4.323
Sb 3.879 1.697 1.441
Sb 2.674 -1.697 4.323
```


(10)
First-principles (PBE-GGA) data for crystalline Pr5GaSb4 at its relaxed geometry, as listed in Alexandria.

Values from the calculation:
- formation energy from raw total energies (eV/f.u.) = -9.9
- crystal system = tetragonal
- volume (Å³ per atom) = 32.71

extended XYZ file:
```
10
Lattice="-5.060 5.060 3.194 5.060 -5.060 3.194 5.060 5.060 -3.194" Properties=species:S:1:pos:R:3 pbc="T T T"
Pr 0.000 0.000 0.000
Pr 4.025 2.016 0.000
Pr 3.044 -1.034 3.194
Pr 2.016 6.094 0.000
Pr 1.034 3.044 3.194
Ga 0.000 0.000 3.194
Sb 7.081 0.991 0.000
Sb 0.991 3.038 0.000
Sb 4.069 2.021 3.194
Sb -2.021 4.069 3.194
```


(11)
First-principles (PBE-GGA) data for crystalline Pr8GaSb2 at its relaxed geometry, as listed in Alexandria.

Values from the calculation:
- formation energy from raw total energies (eV/f.u.) = -5.2
- crystal system = monoclinic
- volume (Å³ per atom) = 32.62

extended XYZ file:
```
11
Lattice="9.784 -2.485 0.000 9.784 2.485 0.000 -1.089 0.000 7.378" Properties=species:S:1:pos:R:3 pbc="T T T"
Pr -0.089 0.000 1.988
Pr 3.312 0.000 6.281
Pr 6.153 0.000 3.464
Pr 7.937 0.000 0.003
Pr 10.542 0.000 7.375
Pr 12.326 0.000 3.915
Pr 15.167 0.000 1.098
Pr 18.568 0.000 5.390
Ga 9.240 0.000 3.689
Sb 3.207 0.000 1.986
Sb 15.272 0.000 5.393
```


(12)
First-principles (PBE-GGA) data for crystalline PrGa2Sb at its relaxed geometry, as listed in Alexandria.

Values from the calculation:
- formation energy from raw total energies (eV/f.u.) = -2.2
- crystal system = tetragonal
- volume (Å³ per atom) = 23.94

extended XYZ file:
```
4
Lattice="4.642 0.000 0.000 0.000 4.642 0.000 0.000 0.000 4.445" Properties=species:S:1:pos:R:3 pbc="T T T"
Pr 0.000 0.000 0.000
Ga 0.000 2.321 2.222
Ga 2.321 0.000 2.222
Sb 2.321 2.321 0.000
```


no.,density of states at the Fermi level (states/eV/cell)
1,3.4
2,7.9
3,3.3
4,2.2
5,4.0
6,4.3
7,10.7
8,14.0
9,12.2
10,5.7
11,13.5
12,1.3